The following is a DFT calculation (GGA-PBEsol) of an optimized crystal structure of MgSiS2.

Cell: 3.594 3.594 21.216 Å, 90.00 90.00 120.00°
Atoms (fractional coordinates):
Mg 0.000 0.000 0.000
Mg 0.333 0.667 0.667
Mg 0.667 0.333 0.333
Si 0.000 0.000 0.500
Si 0.333 0.667 0.167
Si 0.667 0.333 0.833
S 0.000 0.000 0.399
S 0.000 0.000 0.601
S 0.333 0.667 0.066
S 0.333 0.667 0.268
S 0.667 0.333 0.732
S 0.667 0.333 0.934

Total magnetization: 0.000 μB/atom

***

The following is a DFT calculation (GGA-PBEsol) of an optimized crystal structure of Mg2TiSiS.

Cell: 4.812 4.812 4.847 Å, 90.00 90.00 90.00°
Atoms (fractional coordinates):
Mg 0.000 0.500 0.000
Mg 0.500 0.000 0.000
Ti 0.000 0.000 0.500
Si 0.000 0.000 0.000
S 0.500 0.500 0.500

Total magnetization: 0.380 μB/atom

***

The records above give, respectively, formation energy from raw total energies values of -0.371, 0.181 eV/atom.